# GGA-PBE Sc, relaxed
data_Sc
_chemical_formula_sum 'Sc2'
_space_group_name_H-M_alt 'P 1'
_space_group_IT_number 1
_cell_length_a 4.265
_cell_length_b 4.265
_cell_length_c 4.265
_cell_angle_alpha 97.61
_cell_angle_beta 97.61
_cell_angle_gamma 137.31
loop_
_space_group_symop_operation_xyz
'x,y,z'
loop_
_atom_site_label
_atom_site_fract_x
_atom_site_fract_y
_atom_site_fract_z
Sc1 0.125 0.875 0.750
Sc2 0.875 0.125 0.250
# - space-group type = I4_1/amd
# - formation enthalpy at 0 K (meV/atom) = 410.1
# - polymorph energy (0 for the lowest one) (kJ/mol of atoms) = 39.6